A relaxed BaPaCoO4 crystal. Source: Alexandria via LeMat-Bulk, functional PBE+U.

Lattice parameters (Å, degrees): 6.6806 6.6806 6.6806 113.08 108.11 107.28
Fractional coordinates of all 14 atoms:
1 Ba 0.4275 0.1775 0.2500
2 Ba 0.5725 0.8225 0.7500
3 Pa 0.0000 0.0000 0.5000
4 Pa 0.0000 0.5000 0.0000
5 Co 0.0000 0.5000 0.5000
6 Co 0.5000 0.5000 0.0000
7 O 0.1492 0.2290 0.9202
8 O 0.1912 0.7710 0.4202
9 O 0.2608 0.3150 0.5542
10 O 0.2608 0.7067 0.9458
11 O 0.7392 0.2933 0.0542
12 O 0.7392 0.6850 0.4458
13 O 0.8088 0.2290 0.5798
14 O 0.8508 0.7710 0.0798

Summary:
Space group: No. 74
ρ, g cm⁻³: 7.13
Raw total energy, eV/atom: -7.775
Volume, Å³/atom: 16.34